# 1
A relaxed BaSnRh3 crystal, computed with PBE.

```
BaSnRh3
1.0
5.0911 0.0000 0.0000
0.0000 5.0911 0.0000
0.0000 0.0000 5.0911
Ba Sn Rh
1 1 3
direct
0.0000 0.0000 0.0000
0.5000 0.5000 0.5000
0.0000 0.0000 0.5000
0.0000 0.5000 0.0000
0.5000 0.0000 0.0000
```

Computed properties:
Total DFT energy (no corrections)   -4.09 eV per atom
Space-group type   No. 221
V   132 Å³ per cell
Energy above the lowest structure with this stoichiometry   1273.9 meV per atom

***

# 2
A relaxed Ba2Sn5Rh3 crystal, computed with PBE.

```
Ba2Sn5Rh3
1.0
-5.6118 6.7609 3.2778
5.6118 -6.7609 3.2778
5.6118 6.7609 -3.2778
Ba Sn Rh
4 10 6
direct
0.1403 0.2321 0.3724
0.3597 0.7321 0.0919
0.6403 0.2679 0.9081
0.8597 0.7679 0.6276
0.0213 0.7500 0.2713
0.0915 0.6595 0.7509
0.2500 0.2500 0.0000
0.4085 0.1595 0.5680
0.4787 0.7500 0.7287
0.5213 0.2500 0.2713
0.5915 0.8405 0.4320
0.7500 0.7500 0.0000
0.9085 0.3405 0.2491
0.9787 0.2500 0.7287
0.1353 0.8950 0.0303
0.2500 0.7500 0.5000
0.3647 0.3950 0.7597
0.6353 0.6050 0.2403
0.7500 0.2500 0.5000
0.8647 0.1050 0.9697
```

Computed properties:
Total DFT energy (no corrections)   -5.17 eV per atom
Space-group type   No. 72
V   497 Å³ per cell

***

# 3
A relaxed BaSn3Rh5 crystal, computed with PBE.

```
BaSn3Rh5
1.0
2.1644 -6.8517 0.0000
2.1644 6.8517 0.0000
0.0000 0.0000 12.8151
Ba Sn Rh
2 6 10
direct
0.1987 0.8013 0.7500
0.8013 0.1987 0.2500
0.0835 0.9165 0.2500
0.3761 0.6239 0.0462
0.3761 0.6239 0.4538
0.6239 0.3761 0.5462
0.6239 0.3761 0.9538
0.9165 0.0835 0.7500
0.0000 0.0000 0.0000
0.0000 0.0000 0.5000
0.1883 0.8117 0.0651
0.1883 0.8117 0.4349
0.4522 0.5478 0.6399
0.4522 0.5478 0.8601
0.5478 0.4522 0.1399
0.5478 0.4522 0.3601
0.8117 0.1883 0.5651
0.8117 0.1883 0.9349
```

Computed properties:
Total DFT energy (no corrections)   -6.04 eV per atom
Space-group type   No. 63
V   380 Å³ per cell

***

# 4
A relaxed Ba3Sn5Rh6 crystal, computed with PBE.

```
Ba3Sn5Rh6
1.0
4.4443 0.0000 0.0000
0.0000 13.2817 0.0000
0.0000 0.0000 11.5411
Ba Sn Rh
6 10 12
direct
0.2500 0.1000 0.2380
0.2500 0.4000 0.2380
0.2500 0.7500 0.2469
0.7500 0.2500 0.7531
0.7500 0.6000 0.7620
0.7500 0.9000 0.7620
0.2500 0.0716 0.6395
0.2500 0.4284 0.6395
0.2500 0.6134 0.9978
0.2500 0.7500 0.5924
0.2500 0.8866 0.9978
0.7500 0.1134 0.0022
0.7500 0.2500 0.4076
0.7500 0.3866 0.0022
0.7500 0.5716 0.3605
0.7500 0.9284 0.3605
0.2500 0.0642 0.8800
0.2500 0.2500 0.5278
0.2500 0.2500 0.9925
0.2500 0.4358 0.8800
0.2500 0.5773 0.4859
0.2500 0.9227 0.4859
0.7500 0.0773 0.5141
0.7500 0.4227 0.5141
0.7500 0.5642 0.1200
0.7500 0.7500 0.0075
0.7500 0.7500 0.4722
0.7500 0.9358 0.1200
```

Computed properties:
Total DFT energy (no corrections)   -5.51 eV per atom
Space-group type   No. 59
V   681 Å³ per cell

***

# 5
A relaxed BaSr2SnRh crystal, computed with PBE.

```
BaSr2SnRh
1.0
5.8187 0.0000 0.0000
0.0000 5.8187 0.0000
0.0000 0.0000 5.3276
Ba Sr Sn Rh
1 2 1 1
direct
0.0000 0.0000 0.0000
0.0000 0.5000 0.5000
0.5000 0.0000 0.5000
0.5000 0.5000 0.0000
0.5000 0.5000 0.5000
```

Computed properties:
Total DFT energy (no corrections)   -3.67 eV per atom
Space-group type   No. 123
V   180 Å³ per cell

***

# 6
A relaxed BaSrSnRh2 crystal, computed with PBE.

```
BaSrSnRh2
1.0
5.1306 0.0000 0.0000
0.0000 5.1306 0.0000
0.0000 0.0000 5.7690
Ba Sr Sn Rh
1 1 1 2
direct
0.0000 0.0000 0.0000
0.5000 0.5000 0.0000
0.5000 0.5000 0.5000
0.0000 0.5000 0.5000
0.5000 0.0000 0.5000
```

Computed properties:
Total DFT energy (no corrections)   -4.19 eV per atom
Space-group type   No. 123
V   152 Å³ per cell

***

# 7
A relaxed BaSrSnRh crystal, computed with PBE.

```
BaSrSnRh
1.0
4.0467 -2.3246 0.0000
4.0467 2.3246 0.0000
-2.7075 0.0000 8.3579
Ba Sr Sn Rh
1 1 1 1
direct
0.0000 0.0000 0.0000
0.1672 0.1672 0.4992
0.7559 0.7559 0.2638
0.4218 0.4218 0.2589
```

Computed properties:
Total DFT energy (no corrections)   -4.19 eV per atom
Space-group type   No. 8
V   157 Å³ per cell

***

# 8
A relaxed BaSnRhW2 crystal, computed with PBE.

```
BaSnRhW2
1.0
5.0074 0.0000 0.0000
0.0000 5.0074 0.0000
0.0000 0.0000 5.0695
Ba Sn Rh W
1 1 1 2
direct
0.0000 0.0000 0.0000
0.5000 0.5000 0.0000
0.5000 0.5000 0.5000
0.0000 0.5000 0.5000
0.5000 0.0000 0.5000
```

Computed properties:
Total DFT energy (no corrections)   -6.57 eV per atom
Space-group type   No. 123
V   127 Å³ per cell

***

# 9
A relaxed BaY2SnRh crystal, computed with PBE.

```
BaY2SnRh
1.0
5.6019 0.0000 0.0000
0.0000 5.6019 0.0000
0.0000 0.0000 5.7159
Ba Y Sn Rh
1 2 1 1
direct
0.0000 0.0000 0.0000
0.0000 0.5000 0.0000
0.5000 0.0000 0.0000
0.0000 0.0000 0.5000
0.5000 0.5000 0.5000
```

Computed properties:
Total DFT energy (no corrections)   -3.63 eV per atom
Space-group type   No. 123
V   179 Å³ per cell

***

# 10
A relaxed Ba2ZnSnRh crystal, computed with PBE.

```
Ba2ZnSnRh
1.0
6.0661 0.0000 0.0000
0.0000 6.0661 0.0000
0.0000 0.0000 5.0998
Ba Zn Sn Rh
2 1 1 1
direct
0.0000 0.5000 0.0000
0.5000 0.0000 0.0000
0.0000 0.0000 0.5000
0.5000 0.5000 0.5000
0.5000 0.5000 0.0000
```

Computed properties:
Total DFT energy (no corrections)   -3.56 eV per atom
Space-group type   No. 123
V   188 Å³ per cell

***

# 11
A relaxed BaSr3Rh crystal, computed with PBE.

```
BaSr3Rh
1.0
8.6192 0.0000 0.0000
0.0000 7.4781 0.0000
0.0000 0.0000 7.1041
Ba Sr Rh
2 6 2
direct
0.0000 0.1736 0.0000
0.5000 0.8264 0.5000
0.0000 0.8157 0.5212
0.2499 0.3429 0.5121
0.2501 0.6571 0.0121
0.5000 0.1843 0.0212
0.7501 0.3429 0.5121
0.7499 0.6571 0.0121
0.0000 0.4991 0.7634
0.5000 0.5009 0.2634
```

Computed properties:
Total DFT energy (no corrections)   -3.05 eV per atom
Space-group type   No. 31
V   458 Å³ per cell
Energy above the lowest structure with this stoichiometry   2.1 meV per atom

***

# 12
A relaxed BaSrRh crystal, computed with PBE.

```
BaSrRh
1.0
0.0000 5.9288 11.0076
3.0684 0.0000 11.0076
3.0684 5.9288 0.0000
Ba Sr Rh
4 4 4
direct
0.0299 0.7201 0.0299
0.2799 0.9701 0.2799
0.7201 0.0299 0.7201
0.9701 0.2799 0.9701
0.2832 0.2832 0.4668
0.4668 0.4668 0.2832
0.5332 0.5332 0.7168
0.7168 0.7168 0.5332
0.0010 0.0010 0.2490
0.2490 0.2490 0.0010
0.7510 0.7510 0.9990
0.9990 0.9990 0.7510
```

Computed properties:
Total DFT energy (no corrections)   -3.73 eV per atom
Space-group type   No. 70
V   401 Å³ per cell
Energy above the lowest structure with this stoichiometry   97.9 meV per atom

***

# 13
A relaxed BaSr3Rh crystal, computed with PBE.

```
BaSr3Rh
1.0
5.5106 3.1816 4.1891
-5.5106 3.1816 4.1891
0.0000 -6.3631 4.1891
Ba Sr Rh
2 6 2
direct
0.0000 0.0000 0.0000
0.5000 0.5000 0.5000
0.0152 0.7500 0.4848
0.2500 0.5152 0.9848
0.4848 0.0152 0.7500
0.5152 0.9848 0.2500
0.7500 0.4848 0.0152
0.9848 0.2500 0.5152
0.2500 0.2500 0.2500
0.7500 0.7500 0.7500
```

Computed properties:
Total DFT energy (no corrections)   -2.89 eV per atom
Space-group type   No. 167
V   441 Å³ per cell
Energy above the lowest structure with this stoichiometry   155.8 meV per atom

***

# 14
A relaxed BaSr3Rh crystal, computed with PBE.

```
BaSr3Rh
1.0
3.9216 -14.9263 0.0000
3.9216 14.9263 0.0000
0.0000 0.0000 6.3157
Ba Sr Rh
2 6 2
direct
0.1294 0.8706 0.7500
0.8706 0.1294 0.2500
0.0000 0.0000 0.0000
0.0000 0.0000 0.5000
0.0206 0.4455 0.7500
0.4455 0.0206 0.2500
0.5545 0.9794 0.7500
0.9794 0.5545 0.2500
0.2199 0.7801 0.7500
0.7801 0.2199 0.2500
```

Computed properties:
Total DFT energy (no corrections)   -2.40 eV per atom
Space-group type   No. 63
V   739 Å³ per cell
Energy above the lowest structure with this stoichiometry   647.4 meV per atom

***

# 15
A relaxed Ba2Sr4Rh crystal, computed with PBE.

```
Ba2Sr4Rh
1.0
7.8464 0.0000 0.0000
0.0000 4.1849 0.0000
-3.1044 0.0000 10.7943
Ba Sr Rh
2 4 1
direct
0.2438 0.0000 0.4914
0.7562 0.0000 0.5086
0.1395 0.5000 0.8293
0.3824 0.0000 0.1461
0.6176 0.0000 0.8540
0.8605 0.5000 0.1707
0.5000 0.5000 0.0000
```

Computed properties:
Total DFT energy (no corrections)   -2.62 eV per atom
Space-group type   No. 10
V   354 Å³ per cell
Energy above the lowest structure with this stoichiometry   0.0 meV per atom

***

# 16
A relaxed BaSr2Rh crystal, computed with PBE.

```
BaSr2Rh
1.0
3.8511 0.0000 0.0000
0.0000 3.8511 0.0000
0.0000 0.0000 10.7691
Ba Sr Rh
1 2 1
direct
0.0000 0.0000 0.0000
0.0000 0.0000 0.3257
0.5000 0.5000 0.6515
0.5000 0.5000 0.1700
```

Computed properties:
Total DFT energy (no corrections)   -3.20 eV per atom
Space-group type   No. 99
V   160 Å³ per cell
Energy above the lowest structure with this stoichiometry   149.0 meV per atom

***

# 17
A relaxed BaSr2Rh crystal, computed with PBE.

```
BaSr2Rh
1.0
0.0000 4.0843 4.0843
4.0843 0.0000 4.0843
4.0843 4.0843 0.0000
Ba Sr Rh
1 2 1
direct
0.0000 0.0000 0.0000
0.5000 0.5000 0.5000
0.7500 0.7500 0.7500
0.2500 0.2500 0.2500
```

Computed properties:
Total DFT energy (no corrections)   -2.93 eV per atom
Space-group type   No. 216
V   136 Å³ per cell
Energy above the lowest structure with this stoichiometry   419.0 meV per atom

***

# 18
A relaxed BaSr3Rh crystal, computed with PBE.

```
BaSr3Rh
1.0
7.1808 -8.1717 0.0000
7.1808 8.1717 0.0000
-1.0093 0.0000 7.6028
Ba Sr Rh
4 12 4
direct
0.0856 0.6745 0.9021
0.3255 0.9144 0.5979
0.6745 0.0856 0.4021
0.9144 0.3255 0.0979
0.0565 0.1910 0.6320
0.1910 0.0565 0.1320
0.1946 0.5686 0.4403
0.3367 0.4291 0.0179
0.4291 0.3367 0.5179
0.4314 0.8054 0.0597
0.5686 0.1946 0.9403
0.5709 0.6633 0.4821
0.6633 0.5709 0.9821
0.8054 0.4314 0.5597
0.8090 0.9435 0.8680
0.9435 0.8090 0.3680
0.1957 0.8043 0.2500
0.3949 0.6051 0.7500
0.6051 0.3949 0.2500
0.8043 0.1957 0.7500
```

Computed properties:
Total DFT energy (no corrections)   -3.01 eV per atom
Space-group type   No. 15
V   892 Å³ per cell
Energy above the lowest structure with this stoichiometry   36.8 meV per atom

***

# 19
A relaxed BaSr3Rh crystal, computed with PBE.

```
BaSr3Rh
1.0
-4.4793 4.5548 5.6418
4.4793 -4.5548 5.6418
4.4793 4.5548 -5.6418
Ba Sr Rh
2 6 2
direct
0.4833 0.2333 0.2500
0.5167 0.7667 0.7500
0.0000 0.2820 0.2820
0.0000 0.7180 0.7180
0.0048 0.7548 0.2500
0.5000 0.2820 0.7820
0.5000 0.7180 0.2180
0.9952 0.2452 0.7500
0.2576 0.5076 0.7500
0.7424 0.4924 0.2500
```

Computed properties:
Total DFT energy (no corrections)   -3.04 eV per atom
Space-group type   No. 74
V   460 Å³ per cell
Energy above the lowest structure with this stoichiometry   7.2 meV per atom

***

# 20
A relaxed BaSr3Rh crystal, computed with PBE.

```
BaSr3Rh
1.0
6.0264 0.0000 0.0000
0.0000 6.0264 0.0000
0.0000 0.0000 6.0264
Ba Sr Rh
1 3 1
direct
0.0000 0.0000 0.0000
0.0000 0.5000 0.5000
0.5000 0.0000 0.5000
0.5000 0.5000 0.0000
0.5000 0.5000 0.5000
```

Computed properties:
Total DFT energy (no corrections)   -3.00 eV per atom
Space-group type   No. 221
V   219 Å³ per cell
Energy above the lowest structure with this stoichiometry   44.9 meV per atom

***

# 21
A relaxed BaSr2Rh crystal, computed with PBE.

```
BaSr2Rh
1.0
3.8075 -6.5683 0.0000
3.8075 6.5683 0.0000
-0.0322 0.0000 7.1501
Ba Sr Rh
2 4 2
direct
0.1709 0.8291 0.0000
0.8291 0.1709 0.0000
0.1832 0.1832 0.4708
0.4828 0.4828 0.0086
0.4862 0.8292 0.4658
0.8292 0.4862 0.4658
0.1637 0.4968 0.2364
0.4968 0.1637 0.2364
```

Computed properties:
Total DFT energy (no corrections)   -3.34 eV per atom
Space-group type   No. 8
V   358 Å³ per cell
Energy above the lowest structure with this stoichiometry   13.6 meV per atom

***

# 22
A relaxed BaSr2Rh2 crystal, computed with PBE.

```
BaSr2Rh2
1.0
6.3508 -2.3016 0.0000
6.3508 2.3016 0.0000
-0.9509 0.0000 5.8357
Ba Sr Rh
1 2 2
direct
0.0000 0.0000 0.0000
0.3463 0.3463 0.4212
0.6537 0.6537 0.5788
0.2653 0.2653 0.9262
0.7347 0.7347 0.0738
```

Computed properties:
Total DFT energy (no corrections)   -4.11 eV per atom
Space-group type   No. 12
V   171 Å³ per cell
Energy above the lowest structure with this stoichiometry   0.0 meV per atom

***

# 23
A relaxed BaSr2Rh crystal, computed with PBE.

```
BaSr2Rh
1.0
5.9436 -2.0683 0.0000
5.9436 2.0683 0.0000
-3.2438 0.0000 6.8947
Ba Sr Rh
1 2 1
direct
0.0000 0.0000 0.0000
0.1652 0.1652 0.6172
0.3473 0.3473 0.3240
0.6330 0.6330 0.3183
```

Computed properties:
Total DFT energy (no corrections)   -3.28 eV per atom
Space-group type   No. 8
V   170 Å³ per cell
Energy above the lowest structure with this stoichiometry   74.7 meV per atom